Below is an optimized crystal structure of Dy2Hg2Pb3, with properties calculated at the PBE level.

Computed properties:
E_form = -1.59 eV per formula unit
Magnetic moment = 0.000 μB/atom

```
Dy2Hg2Pb3
1.0
3.743 0.000 0.000
-1.872 6.738 -0.899
0.000 -1.526 7.965
Pb Hg Dy
3 2 2
Cartesian
0.000 0.000 0.000
1.872 2.676 0.926
0.000 2.536 6.141
1.872 -0.084 5.618
0.000 5.296 1.448
0.000 1.007 3.221
1.872 4.205 3.845
```